This record from Alexandria describes crystalline VGa3Pt12 at its relaxed geometry. The functional is PBE.

Cell: 3.941 3.941 15.734 Å, 90.00 90.00 90.00°
Space group P4/mmm (No. 123)
Symmetry-distinct sites (fractional):
V  0.000  0.000  0.000
Ga  0.000  0.000  0.254
Ga  0.000  0.000  0.500
Pt  0.000  0.500  0.121
Pt  0.000  0.500  0.374
Pt  0.500  0.500  0.000
Pt  0.500  0.500  0.247
Pt  0.500  0.500  0.500

Summary:
Its energy is -6.141 eV/atom. For the density, the calculation gives 17.67 g cm⁻³. The density of states at the Fermi level comes out at 13.51 states/eV per cell.